Record 1
Computed, not measured: an optimized crystal structure of CsVNF2 at the GGA+U level of DFT.

## Properties
The calculation puts the final energy at -18.135 eV for the cell shown. For the distance to the lowest polymorph of the same formula, the calculation gives 2.003 eV per atom.

Unit cell a=5.0757 b=5.0757 c=4.5126 alpha=90.00 beta=90.00 gamma=90.00
Closest atoms and distances in Å follow each position.
Positions (direct):
Cs  0.0000  0.0000  0.0000  2 N 2.26
F  0.0000  0.5000  0.0000  2 Cs 2.54
F  0.5000  0.0000  0.0000  2 Cs 2.54
N  0.0000  0.0000  0.5000  2 Cs 2.26
V  0.5000  0.5000  0.5000  8 F 3.40, 4 N 3.59

=====

Record 2
Computed, not measured: an optimized crystal structure of NaGeMoO4 at the GGA+U level of DFT.

## Properties
The calculation puts the final energy at -89.450 eV for the cell shown.

Unit cell a=5.3688 b=5.3688 c=6.9087 alpha=90.00 beta=90.00 gamma=116.53
Closest atoms and distances in Å follow each position.
Positions (direct):
Na  0.8248  0.1752  0.2500  4 O 2.21-2.40
Na  0.1752  0.8248  0.7500  4 O 2.21-2.40
O  0.2886  0.2172  0.2500  1 Ge 1.83
O  0.7301  0.2699  0.9558  1 Ge 1.73
O  0.2699  0.7301  0.4558  1 Ge 1.73
O  0.7114  0.7828  0.7500  1 Ge 1.83
O  0.7828  0.7114  0.2500  1 Ge 1.83
O  0.2699  0.7301  0.0442  1 Ge 1.73
O  0.2172  0.2886  0.7500  1 Ge 1.83
O  0.7301  0.2699  0.5442  1 Ge 1.73
Ge  0.1613  0.8387  0.2500  4 O 1.73-1.83
Ge  0.8387  0.1613  0.7500  4 O 1.73-1.83
Mo  0.5000  0.5000  0.5000  6 O 2.12-2.24
Mo  0.5000  0.5000  0.0000  6 O 2.12-2.24